No. 1
Below is an optimized crystal structure of NdEr2Th, with properties calculated at the PBE-GGA level.

The structure belongs to space group P4/mmm (No. 123); the cell edges are 5.079, 5.079 and 4.957 Å and the angles 90.00°, 90.00° and 90.00°. Symmetry generates all atoms from Nd at (0.000, 0.000, 0.000), Er at (0.000, 0.500, 0.500) and Th at (0.500, 0.500, 0.000).

Its offset from the most stable computed form is 42 meV per atom. The total magnetization comes out at 0.0 μB/f.u.

=====

No. 2
Below is an optimized crystal structure of NdEr6Th, with properties calculated at the PBE-GGA level.

The structure belongs to space group P-1 (No. 2); the cell edges are 6.526, 6.694 and 6.827 Å and the angles 62.23°, 76.99° and 89.93°. Symmetry generates all atoms from Nd at (0.000, 0.000, 0.000), Er at (0.233, 0.571, 0.521), Er at (0.252, 0.539, 0.005), Er at (0.273, 0.091, 0.477) and Th at (0.500, 0.000, 0.000).

Its offset from the most stable computed form is 205 meV per atom. The total magnetization comes out at 0.0 μB/f.u.

=====

No. 3
Below is an optimized crystal structure of Nd2Er7Th, with properties calculated at the PBE-GGA level.

The structure belongs to space group Cmmm (No. 65); the cell edges are 6.524, 28.630 and 3.468 Å and the angles 90.00°, 90.00° and 90.00°. Symmetry generates all atoms from Nd at (0.000, 0.206, 0.000), Er at (0.000, 0.000, 0.000), Er at (0.000, 0.315, 0.500), Er at (0.245, 0.403, 0.000) and Th at (0.000, 0.500, 0.500).

The total magnetization comes out at 0.0 μB/f.u.

=====

No. 4
Below is an optimized crystal structure of Nd5Er2Th3, with properties calculated at the PBE-GGA level.

The structure belongs to space group C2/m (No. 12); the cell edges are 11.468, 5.089 and 11.426 Å and the angles 90.00°, 90.18° and 90.00°. Symmetry generates all atoms from Nd at (0.000, 0.000, 0.000), Nd at (0.198, 0.500, 0.897), Nd at (0.199, 0.000, 0.400), Er at (0.098, 0.500, 0.206), Th at (0.000, 0.500, 0.500) and Th at (0.097, 0.000, 0.698).

The total magnetization comes out at 0.0 μB/f.u.

=====

No. 5
Below is an optimized crystal structure of Nd3Er3Th2, with properties calculated at the PBE-GGA level.

The structure belongs to space group Immm (No. 71); the cell edges are 5.051, 5.079 and 20.473 Å and the angles 90.00°, 90.00° and 90.00°. Symmetry generates all atoms from Nd at (0.000, 0.000, 0.000), Nd at (0.000, 0.500, 0.128), Er at (0.000, 0.000, 0.500), Er at (0.000, 0.500, 0.372) and Th at (0.000, 0.000, 0.250).

Its offset from the most stable computed form is 0 meV per atom. The total magnetization comes out at 0.0 μB/f.u.

=====

No. 6
Below is an optimized crystal structure of NdErTh4, with properties calculated at the PBE-GGA level.

The structure belongs to space group Cmmm (No. 65); the cell edges are 5.038, 15.297 and 5.062 Å and the angles 90.00°, 90.00° and 90.00°. Symmetry generates all atoms from Nd at (0.000, 0.000, 0.000), Er at (0.000, 0.500, 0.500), Th at (0.000, 0.169, 0.500) and Th at (0.000, 0.332, 0.000).

Its offset from the most stable computed form is 0 meV per atom. The total magnetization comes out at 0.0 μB/f.u.

=====

No. 7
Below is an optimized crystal structure of Nd12Er5Th, with properties calculated at the PBE-GGA level.

The structure belongs to space group Cmmm (No. 65); the cell edges are 15.379, 15.412 and 5.139 Å and the angles 90.00°, 90.00° and 90.00°. Symmetry generates all atoms from Nd at (0.000, 0.163, 0.000), Nd at (0.000, 0.337, 0.500), Nd at (0.166, 0.164, 0.500), Nd at (0.166, 0.336, 0.000), Er at (0.000, 0.000, 0.500), Er at (0.164, 0.500, 0.500), Er at (0.167, 0.000, 0.000) and Th at (0.000, 0.500, 0.000).

The total magnetization comes out at 0.0 μB/f.u.

=====

No. 8
Below is an optimized crystal structure of NdErTh, with properties calculated at the PBE-GGA level.

The structure belongs to space group P3m1 (No. 156); the cell edges are 3.5903, 3.5903 and 8.7888 Å and the angles 90.00°, 90.00° and 120.00°. Symmetry generates all atoms from Nd at (0.0000, 0.0000, 0.0000), Er at (0.6667, 0.3333, 0.3484) and Th at (0.3333, 0.6667, 0.6670).

Its offset from the most stable computed form is 0 meV per atom. The total magnetization comes out at 0.0 μB/f.u.

=====

No. 9
Below is an optimized crystal structure of NdErTh4, with properties calculated at the PBE-GGA level.

The structure belongs to space group F-43m (No. 216); the cell edges are 9.392, 9.392 and 9.392 Å and the angles 90.00°, 90.00° and 90.00°. Symmetry generates all atoms from Nd at (0.000, 0.000, 0.000), Er at (0.250, 0.250, 0.750) and Th at (0.125, 0.125, 0.375).

Its offset from the most stable computed form is 223 meV per atom. The total magnetization comes out at 0.0 μB/f.u.

=====

No. 10
Below is an optimized crystal structure of NdEr2Th, with properties calculated at the PBE-GGA level.

The structure belongs to space group R3m (No. 160, hexagonal axes); the cell edges are 3.5881, 3.5881 and 34.5452 Å and the angles 90.00°, 90.00° and 120.00°. Symmetry generates all atoms from Nd at (0.0000, 0.0000, 0.0000), Er at (0.0000, 0.0000, 0.2480), Er at (0.0000, 0.0000, 0.4199) and Th at (0.0000, 0.0000, 0.8341).

Its offset from the most stable computed form is 17 meV per atom. The total magnetization comes out at 0.0 μB/f.u.

=====

No. 11
Below is an optimized crystal structure of NdEr2Th, with properties calculated at the PBE-GGA level.

The structure belongs to space group P4/mmm (No. 123); the cell edges are 3.585, 3.585 and 9.997 Å and the angles 90.00°, 90.00° and 90.00°. Symmetry generates all atoms from Nd at (0.000, 0.000, 0.000), Er at (0.500, 0.500, 0.259) and Th at (0.000, 0.000, 0.500).

Its offset from the most stable computed form is 16 meV per atom. The total magnetization comes out at 0.0 μB/f.u.

=====

No. 12
Below is an optimized crystal structure of NdEr3Th2, with properties calculated at the PBE-GGA level.

The structure belongs to space group C2/m (No. 12); the cell edges are 21.888, 3.586 and 11.592 Å and the angles 90.00°, 121.91° and 90.00°. Symmetry generates all atoms from Nd at (0.108, 0.000, 0.236), Er at (0.054, 0.500, 0.431), Er at (0.111, 0.000, 0.731), Er at (0.221, 0.000, 0.596), Th at (0.062, 0.500, 0.932) and Th at (0.221, 0.000, 0.094).

Its offset from the most stable computed form is 0 meV per atom. The total magnetization comes out at 0.0 μB/f.u.

=====

No. 13
Below is an optimized crystal structure of Nd12Er3Th, with properties calculated at the PBE-GGA level.

The structure belongs to space group P4/mmm (No. 123); the cell edges are 5.153, 5.153 and 20.576 Å and the angles 90.00°, 90.00° and 90.00°. Symmetry generates all atoms from Nd at (0.000, 0.000, 0.000), Nd at (0.000, 0.000, 0.247), Nd at (0.000, 0.000, 0.500), Nd at (0.000, 0.500, 0.125), Nd at (0.000, 0.500, 0.376), Er at (0.500, 0.500, 0.000), Er at (0.500, 0.500, 0.249) and Th at (0.500, 0.500, 0.500).

The total magnetization comes out at 0.0 μB/f.u.

=====

No. 14
Below is an optimized crystal structure of NdEr6Th, with properties calculated at the PBE-GGA level.

The structure belongs to space group P4/mmm (No. 123); the cell edges are 5.001, 5.001 and 10.012 Å and the angles 90.00°, 90.00° and 90.00°. Symmetry generates all atoms from Nd at (0.000, 0.000, 0.000), Er at (0.000, 0.500, 0.254), Er at (0.500, 0.500, 0.000), Er at (0.500, 0.500, 0.500) and Th at (0.000, 0.000, 0.500).

Its offset from the most stable computed form is 0 meV per atom. The total magnetization comes out at 0.0 μB/f.u.

=====

No. 15
Below is an optimized crystal structure of Nd6ErTh, with properties calculated at the PBE-GGA level.

The structure belongs to space group P4/mmm (No. 123); the cell edges are 5.153, 5.153 and 10.309 Å and the angles 90.00°, 90.00° and 90.00°. Symmetry generates all atoms from Nd at (0.000, 0.000, 0.000), Nd at (0.000, 0.000, 0.500), Nd at (0.000, 0.500, 0.248), Er at (0.500, 0.500, 0.500) and Th at (0.500, 0.500, 0.000).

The total magnetization comes out at 0.0 μB/f.u.

=====

No. 16
Below is an optimized crystal structure of Nd8ErTh2, with properties calculated at the PBE-GGA level.

The structure belongs to space group Immm (No. 71); the cell edges are 5.744, 8.296 and 16.135 Å and the angles 90.00°, 90.00° and 90.00°. Symmetry generates all atoms from Nd at (0.000, 0.000, 0.160), Nd at (0.000, 0.206, 0.363), Nd at (0.000, 0.294, 0.000), Er at (0.000, 0.500, 0.500) and Th at (0.000, 0.500, 0.201).

The total magnetization comes out at 0.0 μB/f.u.

=====

No. 17
Below is an optimized crystal structure of Nd5Er4Th2, with properties calculated at the PBE-GGA level.

The structure belongs to space group P2/m (No. 10); the cell edges are 8.875, 3.526 and 11.838 Å and the angles 90.00°, 94.39° and 90.00°. Symmetry generates all atoms from Nd at (0.000, 0.000, 0.000), Nd at (0.073, 0.000, 0.292), Nd at (0.310, 0.000, 0.838), Er at (0.200, 0.500, 0.547), Er at (0.338, 0.500, 0.110) and Th at (0.460, 0.000, 0.367).

The total magnetization comes out at 0.0 μB/f.u.

=====

No. 18
Below is an optimized crystal structure of Nd12Er5Th2, with properties calculated at the PBE-GGA level.

The structure belongs to space group C2/m (No. 12); the cell edges are 15.431, 10.560 and 8.050 Å and the angles 90.00°, 92.47° and 90.00°. Symmetry generates all atoms from Nd at (0.052, 0.000, 0.219), Nd at (0.107, 0.226, 0.887), Nd at (0.132, 0.500, 0.610), Nd at (0.185, 0.277, 0.293), Er at (0.000, 0.500, 0.000), Er at (0.156, 0.000, 0.592), Er at (0.242, 0.500, 0.983) and Th at (0.000, 0.235, 0.500).

The total magnetization comes out at 0.0 μB/f.u.

=====

No. 19
Below is an optimized crystal structure of Nd2Er6Th, with properties calculated at the PBE-GGA level.

The structure belongs to space group P6/mmm (No. 191); the cell edges are 9.7443, 9.7443 and 3.4727 Å and the angles 90.00°, 90.00° and 120.00°. Symmetry generates all atoms from Nd at (0.3333, 0.6667, 0.0000), Er at (0.0000, 0.3308, 0.5000) and Th at (0.0000, 0.0000, 0.0000).

Its offset from the most stable computed form is 0 meV per atom. The total magnetization comes out at 0.0 μB/f.u.

=====

No. 20
Below is an optimized crystal structure of Nd2Er2Th, with properties calculated at the PBE-GGA level.

The structure belongs to space group R-3m (No. 166, hexagonal axes); the cell edges are 3.6002, 3.6002 and 43.6252 Å and the angles 90.00°, 90.00° and 120.00°. Symmetry generates all atoms from Nd at (0.0000, 0.0000, 0.2011), Er at (0.0000, 0.0000, 0.3973) and Th at (0.0000, 0.0000, 0.0000).

Its offset from the most stable computed form is 0 meV per atom. The total magnetization comes out at 0.0 μB/f.u.

=====

No. 21
Below is an optimized crystal structure of Nd6Er3Th, with properties calculated at the PBE-GGA level.

The structure belongs to space group P2_1/c (No. 14); the cell edges are 5.053, 10.981 and 12.647 Å and the angles 90.00°, 90.40° and 90.00°. Symmetry generates all atoms from Nd at (0.000, 0.195, 0.003), Nd at (0.004, 0.008, 0.781), Nd at (0.497, 0.167, 0.358), Er at (0.497, 0.660, 0.871), Er at (0.500, 0.000, 0.000) and Th at (0.000, 0.000, 0.500).

Its offset from the most stable computed form is 128 meV per atom. The total magnetization comes out at 0.0 μB/f.u.

=====

No. 22
Below is an optimized crystal structure of Nd2Er12Th5, with properties calculated at the PBE-GGA level.

The structure belongs to space group C2/m (No. 12); the cell edges are 18.582, 7.048 and 10.160 Å and the angles 90.00°, 113.11° and 90.00°. Symmetry generates all atoms from Nd at (0.000, 0.213, 0.000), Er at (0.001, 0.000, 0.329), Er at (0.027, 0.500, 0.236), Er at (0.158, 0.254, 0.863), Er at (0.165, 0.251, 0.513), Th at (0.000, 0.500, 0.500), Th at (0.182, 0.000, 0.212) and Th at (0.189, 0.500, 0.184).

Its offset from the most stable computed form is 69 meV per atom. The total magnetization comes out at 0.0 μB/f.u.

=====

Number 1: formation energy from the elements 40 meV/atom. Number 2: formation energy from the elements 233 meV/atom. Number 3: formation energy from the elements 163 meV/atom. Number 4: formation energy from the elements 51 meV/atom. Number 5: formation energy from the elements 32 meV/atom. Number 6: formation energy from the elements 50 meV/atom. Number 7: formation energy from the elements 28 meV/atom. Number 8: formation energy from the elements 32 meV/atom. Number 9: formation energy from the elements 273 meV/atom. Number 10: formation energy from the elements 15 meV/atom. Number 11: formation energy from the elements 14 meV/atom. Number 12: formation energy from the elements 44 meV/atom. Number 13: formation energy from the elements 27 meV/atom. Number 14: formation energy from the elements 28 meV/atom. Number 15: formation energy from the elements 42 meV/atom. Number 16: formation energy from the elements 156 meV/atom. Number 17: formation energy from the elements 121 meV/atom. Number 18: formation energy from the elements 155 meV/atom. Number 19: formation energy from the elements 67 meV/atom. Number 20: formation energy from the elements 15 meV/atom. Number 21: formation energy from the elements 213 meV/atom. Number 22: formation energy from the elements 217 meV/atom.